1.
# ScCuO2 GGA-PBE optimized geometry
data_ScCuO2
_chemical_formula_sum 'Sc4 Cu4 O8'
_cell_length_a 4.568
_cell_length_b 4.568
_cell_length_c 10.065
_cell_angle_alpha 90.00
_cell_angle_beta 90.00
_cell_angle_gamma 90.00
_symmetry_space_group_name_H-M 'P 1'
_symmetry_Int_Tables_number 1
_symmetry_space_group_name_Hall 'P 1'
loop_
_atom_site_label
_atom_site_fract_x
_atom_site_fract_y
_atom_site_fract_z
_atom_site_occupancy
Sc1 0.000 0.000 0.000 1
Sc2 0.000 0.500 0.250 1
Sc3 0.500 0.000 0.750 1
Sc4 0.500 0.500 0.500 1
Cu1 0.000 0.000 0.500 1
Cu2 0.000 0.500 0.750 1
Cu3 0.500 0.000 0.250 1
Cu4 0.500 0.500 0.000 1
O1 0.235 0.250 0.125 1
O2 0.250 0.735 0.375 1
O3 0.250 0.765 0.875 1
O4 0.265 0.250 0.625 1
O5 0.735 0.750 0.625 1
O6 0.750 0.235 0.875 1
O7 0.750 0.265 0.375 1
O8 0.765 0.750 0.125 1
# Size of the total moment = 0.0 μB per formula unit
# Formation energy without anion corrections = -8.4 eV/f.u.

2.
# ScCuO2 GGA-PBE optimized geometry
data_ScCuO2
_chemical_formula_sum 'Sc3 Cu3 O6'
_cell_length_a 3.243
_cell_length_b 3.243
_cell_length_c 17.185
_cell_angle_alpha 90.00
_cell_angle_beta 90.00
_cell_angle_gamma 120.00
_symmetry_space_group_name_H-M 'P 1'
_symmetry_Int_Tables_number 1
_symmetry_space_group_name_Hall 'P 1'
loop_
_atom_site_label
_atom_site_fract_x
_atom_site_fract_y
_atom_site_fract_z
_atom_site_occupancy
Sc1 0.000 0.000 0.000 1
Sc2 0.333 0.667 0.667 1
Sc3 0.667 0.333 0.333 1
Cu1 0.000 0.000 0.500 1
Cu2 0.333 0.667 0.167 1
Cu3 0.667 0.333 0.833 1
O1 0.000 0.000 0.393 1
O2 0.000 0.000 0.607 1
O3 0.333 0.667 0.060 1
O4 0.333 0.667 0.274 1
O5 0.667 0.333 0.726 1
O6 0.667 0.333 0.940 1
# Size of the total moment = 0.0 μB per formula unit
# Formation energy without anion corrections = -9.5 eV/f.u.

3.
# Sc6Cu3O GGA-PBE optimized geometry
data_Sc6Cu3O
_chemical_formula_sum 'Sc12 Cu6 O2'
_cell_length_a 6.118
_cell_length_b 6.661
_cell_length_c 10.272
_cell_angle_alpha 90.00
_cell_angle_beta 119.22
_cell_angle_gamma 90.00
_symmetry_space_group_name_H-M 'P 1'
_symmetry_Int_Tables_number 1
_symmetry_space_group_name_Hall 'P 1'
loop_
_atom_site_label
_atom_site_fract_x
_atom_site_fract_y
_atom_site_fract_z
_atom_site_occupancy
Sc1 0.085 0.030 0.240 1
Sc2 0.085 0.470 0.740 1
Sc3 0.193 0.689 0.066 1
Sc4 0.193 0.811 0.566 1
Sc5 0.358 0.161 0.055 1
Sc6 0.358 0.339 0.555 1
Sc7 0.642 0.661 0.445 1
Sc8 0.642 0.839 0.945 1
Sc9 0.807 0.189 0.434 1
Sc10 0.807 0.311 0.934 1
Sc11 0.915 0.530 0.260 1
Sc12 0.915 0.970 0.760 1
Cu1 0.328 0.118 0.762 1
Cu2 0.328 0.382 0.262 1
Cu3 0.500 0.000 0.500 1
Cu4 0.500 0.500 0.000 1
Cu5 0.672 0.618 0.738 1
Cu6 0.672 0.882 0.238 1
O1 0.000 0.000 0.000 1
O2 0.000 0.500 0.500 1
# Size of the total moment = 0.0 μB per formula unit
# Formation energy without anion corrections = -6.5 eV/f.u.

4.
# ScCu3O GGA-PBE optimized geometry
data_ScCu3O
_chemical_formula_sum 'Sc1 Cu3 O1'
_cell_length_a 4.119
_cell_length_b 4.119
_cell_length_c 4.119
_cell_angle_alpha 90.00
_cell_angle_beta 90.00
_cell_angle_gamma 90.00
_symmetry_space_group_name_H-M 'P 1'
_symmetry_Int_Tables_number 1
_symmetry_space_group_name_Hall 'P 1'
loop_
_atom_site_label
_atom_site_fract_x
_atom_site_fract_y
_atom_site_fract_z
_atom_site_occupancy
Sc1 0.000 0.000 0.000 1
Cu1 0.000 0.500 0.500 1
Cu2 0.500 0.000 0.500 1
Cu3 0.500 0.500 0.000 1
O1 0.500 0.500 0.500 1
# Size of the total moment = 0.0 μB per formula unit
# Formation energy without anion corrections = 0.0 eV/f.u.

5.
# ScCu6O12 GGA-PBE optimized geometry
data_ScCu6O12
_chemical_formula_sum 'Sc1 Cu6 O12'
_cell_length_a 6.404
_cell_length_b 6.404
_cell_length_c 6.404
_cell_angle_alpha 109.47
_cell_angle_beta 109.47
_cell_angle_gamma 109.47
_symmetry_space_group_name_H-M 'P 1'
_symmetry_Int_Tables_number 1
_symmetry_space_group_name_Hall 'P 1'
loop_
_atom_site_label
_atom_site_fract_x
_atom_site_fract_y
_atom_site_fract_z
_atom_site_occupancy
Sc1 0.000 0.000 0.000 1
Cu1 0.166 0.666 0.500 1
Cu2 0.334 0.500 0.834 1
Cu3 0.500 0.166 0.666 1
Cu4 0.500 0.834 0.334 1
Cu5 0.666 0.500 0.166 1
Cu6 0.834 0.334 0.500 1
O1 0.148 0.323 0.471 1
O2 0.148 0.677 0.824 1
O3 0.176 0.852 0.323 1
O4 0.323 0.176 0.852 1
O5 0.323 0.471 0.148 1
O6 0.471 0.148 0.323 1
O7 0.529 0.852 0.677 1
O8 0.677 0.529 0.852 1
O9 0.677 0.824 0.148 1
O10 0.824 0.148 0.677 1
O11 0.852 0.323 0.176 1
O12 0.852 0.677 0.529 1
# Size of the total moment = 8.7 μB per formula unit
# Formation energy without anion corrections = -2.3 eV/f.u.

6.
# ScCu3O6 GGA-PBE optimized geometry
data_ScCu3O6
_chemical_formula_sum 'Sc1 Cu3 O6'
_cell_length_a 5.902
_cell_length_b 5.902
_cell_length_c 3.209
_cell_angle_alpha 90.00
_cell_angle_beta 90.00
_cell_angle_gamma 109.75
_symmetry_space_group_name_H-M 'P 1'
_symmetry_Int_Tables_number 1
_symmetry_space_group_name_Hall 'P 1'
loop_
_atom_site_label
_atom_site_fract_x
_atom_site_fract_y
_atom_site_fract_z
_atom_site_occupancy
Sc1 0.000 0.000 0.000 1
Cu1 0.000 0.500 0.500 1
Cu2 0.500 0.000 0.500 1
Cu3 0.500 0.500 0.000 1
O1 0.148 0.852 0.500 1
O2 0.171 0.423 0.000 1
O3 0.423 0.171 0.000 1
O4 0.577 0.829 0.000 1
O5 0.829 0.577 0.000 1
O6 0.852 0.148 0.500 1
# Size of the total moment = 0.0 μB per formula unit
# Formation energy without anion corrections = -11.6 eV/f.u.

Number 1: DOS at the Fermi energy 0.00 states/eV/f.u., VASP energy -7.194 eV per atom. Number 2: DOS at the Fermi energy 0.00 states/eV/f.u., VASP energy -7.461 eV per atom. Number 3: DOS at the Fermi energy 10.41 states/eV/f.u., VASP energy -6.174 eV per atom. Number 4: DOS at the Fermi energy 3.29 states/eV/f.u., VASP energy -4.721 eV per atom. Number 5: DOS at the Fermi energy 15.18 states/eV/f.u., VASP energy -4.878 eV per atom. Number 6: DOS at the Fermi energy 6.78 states/eV/f.u., VASP energy -5.999 eV per atom.